No. 1
Entry from Alexandria: Cs13Na2 after structural relaxation (PBE-GGA).

Summary:
Calculated volume: 1569 Å³/cell
Uncorrected energy: -13.5 eV/cell
Theoretical density: 1877 kg/m³
DOS at the Fermi energy: 16.6 states/eV/f.u.

a = 10.317 Å, b = 12.284 Å, c = 13.926 Å
α = 65.36°, β = 88.99°, γ = 78.78°
Space group P-1 (No. 2)
Symmetry-distinct sites (fractional):
Cs (0.000, 0.000, 0.000) [1 per cell]
Cs (0.044, 0.554, 0.653) [2 per cell]
Cs (0.176, 0.013, 0.645) [2 per cell]
Cs (0.237, 0.589, 0.003) [2 per cell]
Cs (0.289, 0.105, 0.248) [2 per cell]
Cs (0.431, 0.222, 0.858) [2 per cell]
Cs (0.484, 0.343, 0.426) [2 per cell]
Na (0.198, 0.723, 0.318) [2 per cell]



No. 2
Entry from Alexandria: CsNa4 after structural relaxation (PBE-GGA).

Summary:
Calculated volume: 521 Å³/cell
Uncorrected energy: -11.8 eV/cell
Theoretical density: 1432 kg/m³
DOS at the Fermi energy: 2.9 states/eV/f.u.

a = 6.079 Å, b = 6.079 Å, c = 14.107 Å
α = 90.00°, β = 90.00°, γ = 90.00°
Space group I4/mmm (No. 139)
Symmetry-distinct sites (fractional):
Cs (0.000, 0.000, 0.000) [2 per cell]
Na (0.000, 0.000, 0.377) [4 per cell]
Na (0.000, 0.500, 0.250) [4 per cell]



No. 3
Entry from Alexandria: Cs15Na after structural relaxation (PBE-GGA).

Summary:
Calculated volume: 1766 Å³/cell
Uncorrected energy: -13.9 eV/cell
Theoretical density: 1897 kg/m³
DOS at the Fermi energy: 19.6 states/eV/f.u.

a = 10.8361 Å, b = 10.8361 Å, c = 17.3628 Å
α = 90.00°, β = 90.00°, γ = 120.00°
Space group P-6m2 (No. 187)
Symmetry-distinct sites (fractional):
Cs (0.0000, 0.0000, 0.0000) [1 per cell]
Cs (0.0059, 0.5030, 0.5000) [3 per cell]
Cs (0.3241, 0.1620, 0.2646) [6 per cell]
Cs (0.3333, 0.6667, 0.2430) [2 per cell]
Cs (0.5031, 0.0062, 0.0000) [3 per cell]
Na (0.0000, 0.0000, 0.5000) [1 per cell]



No. 4
Entry from Alexandria: Cs4Na after structural relaxation (PBE-GGA).

Summary:
Calculated volume: 2090 Å³/cell
Uncorrected energy: -18.2 eV/cell
Theoretical density: 1763 kg/m³
DOS at the Fermi energy: 4.9 states/eV/f.u.

a = 13.646 Å, b = 13.646 Å, c = 11.222 Å
α = 90.00°, β = 90.00°, γ = 90.00°
Space group I4_1/amd (No. 141, origin choice 2)
Symmetry-distinct sites (fractional):
Cs (0.000, 0.052, 0.218) [16 per cell]
Na (0.000, 0.250, 0.875) [4 per cell]



No. 5
Entry from Alexandria: Cs4Na3 after structural relaxation (PBE-GGA).

Summary:
Calculated volume: 1658 Å³/cell
Uncorrected energy: -21.7 eV/cell
Theoretical density: 1805 kg/m³
DOS at the Fermi energy: 4.6 states/eV/f.u.

a = 18.0411 Å, b = 18.0411 Å, c = 5.8813 Å
α = 90.00°, β = 90.00°, γ = 120.00°
Space group P-3 (No. 147)
Symmetry-distinct sites (fractional):
Cs (0.0067, 0.7678, 0.2621) [6 per cell]
Cs (0.1321, 0.5138, 0.2539) [6 per cell]
Na (0.0000, 0.0000, 0.0000) [1 per cell]
Na (0.1616, 0.7171, 0.7579) [6 per cell]
Na (0.3333, 0.6667, 0.7540) [2 per cell]



No. 6
Entry from Alexandria: CsNa5 after structural relaxation (PBE-GGA).

Summary:
Calculated volume: 303 Å³/cell
Uncorrected energy: -7.2 eV/cell
Theoretical density: 1356 kg/m³
DOS at the Fermi energy: 2.6 states/eV/f.u.

a = 6.0223 Å, b = 6.0223 Å, c = 9.6609 Å
α = 90.00°, β = 90.00°, γ = 120.00°
Space group P6/mmm (No. 191)
Symmetry-distinct sites (fractional):
Cs (0.0000, 0.0000, 0.0000) [1 per cell]
Na (0.0000, 0.0000, 0.5000) [1 per cell]
Na (0.3333, 0.6667, 0.3186) [4 per cell]



> Which of these has the lowest theoretical density?

CsNa5